[1]
Material: CaLaSe
Method: DFT, GGA-PBE
State: optimized geometry

Properties
**E**: -4.5237 eV per atom
**SG**: I4mm, No. 107
**Formation energy without anion corrections**: -1.053 eV/atom
**Energy above the lowest structure with this stoichiometry**: 0.132 eV per atom

a = 7.2573 Å, b = 7.2578 Å, c = 3.6983 Å
α = 75.23°, β = 75.25°, γ = 29.52°
Closest atoms and distances in Å follow each position.
Fractional coordinates of all 3 atoms:
Ca (0.0342, 0.0342, 0.9658)  4 Se 3.17
La (0.2990, 0.2990, 0.7010)  4 Se 3.17
Se (0.6669, 0.6669, 0.3331)  4 La 3.17, 4 Ca 3.17


[2]
Material: CaLaSe
Method: DFT, GGA-PBE
State: optimized geometry

Properties
**E**: -4.6552 eV per atom
**SG**: P4/mmm, No. 123
**Formation energy without anion corrections**: -1.184 eV/atom
**Energy above the lowest structure with this stoichiometry**: 0.000 eV per atom

a = 8.4931 Å, b = 11.5987 Å, c = 7.1832 Å
α = 143.84°, β = 90.00°, γ = 90.00°
Closest atoms and distances in Å follow each position.
Fractional coordinates of all 12 atoms:
Ca (0.7497, 0.7502, 0.0000)  2 Se 2.90
Ca (0.2497, 0.7498, 0.0000)  2 Se 2.90
Ca (0.7503, 0.2502, 0.0000)  2 Se 2.90
Ca (0.2503, 0.2498, 0.0000)  2 Se 2.90
La (0.5000, 0.2498, 0.4996)  4 Se 3.00
La (0.0000, 0.2502, 0.5004)  4 Se 3.00
La (0.5000, 0.7502, 0.5004)  4 Se 3.00
La (0.0000, 0.7498, 0.4996)  4 Se 3.00
Se (0.2498, 0.9998, 0.0000)  2 Ca 2.90, 4 La 3.00
Se (0.7498, 0.5002, 0.0000)  2 Ca 2.90, 4 La 3.00
Se (0.7502, 0.0002, 0.0000)  2 Ca 2.90, 4 La 3.00
Se (0.2502, 0.4998, 0.0000)  2 Ca 2.90, 4 La 3.00


[3]
Material: CaLaSe2
Method: DFT, GGA-PBE
State: optimized geometry

Properties
**E**: -5.3443 eV per atom
**SG**: R3m, No. 160
**Formation energy without anion corrections**: -1.870 eV/atom
**Energy above the lowest structure with this stoichiometry**: 0.109 eV per atom

a = 4.1583 Å, b = 4.1583 Å, c = 7.8362 Å
α = 74.61°, β = 74.61°, γ = 60.00°
Closest atoms and distances in Å follow each position.
Fractional coordinates of all 4 atoms:
Se (0.0858, 0.0858, 0.7426)  3 Ca 2.95, 3 La 3.04
Se (0.2491, 0.2491, 0.2526)  3 Ca 3.08, 3 La 3.09
La (0.6691, 0.6691, 0.9927)  6 Se 3.04-3.09
Ca (0.4960, 0.4960, 0.5120)  6 Se 2.95-3.08


[4]
Material: CaLaSe2
Method: DFT, GGA-PBE
State: optimized geometry

Properties
**E**: -5.0436 eV per atom
**SG**: R-3m, No. 166
**Formation energy without anion corrections**: -1.569 eV/atom
**Energy above the lowest structure with this stoichiometry**: 0.410 eV per atom

a = 9.1337 Å, b = 9.1337 Å, c = 9.1337 Å
α = 28.31°, β = 28.31°, γ = 28.31°
Closest atoms and distances in Å follow each position.
Fractional coordinates of all 4 atoms:
Ca (0.0000, 0.0000, 0.0000)  2 Se 2.81
Se (0.8929, 0.8929, 0.8929)  1 Ca 2.81, 3 La 3.02
Se (0.1071, 0.1071, 0.1071)  1 Ca 2.81, 3 La 3.02
La (0.5000, 0.5000, 0.5000)  6 Se 3.02


[5]
Material: CaLaSe
Method: DFT, GGA-PBE
State: optimized geometry

Properties
**E**: -3.5965 eV per atom
**SG**: F-43m, No. 216
**Formation energy without anion corrections**: -0.125 eV/atom
**Energy above the lowest structure with this stoichiometry**: 1.059 eV per atom

a = 5.2961 Å, b = 5.2961 Å, c = 5.2961 Å
α = 60.00°, β = 60.00°, γ = 60.00°
Closest atoms and distances in Å follow each position.
Fractional coordinates of all 3 atoms:
Ca (0.5000, 0.5000, 0.5000)  4 La 3.24
La (0.7500, 0.7500, 0.7500)  4 Se 3.24, 4 Ca 3.24
Se (0.0000, 0.0000, 0.0000)  4 La 3.24


[6]
Material: Ca3LaSm4Se8
Method: DFT, GGA-PBE
State: optimized geometry

Properties
**E**: -5.5010 eV per atom
**SG**: R-3m, No. 166
**Formation energy without anion corrections**: -1.896 eV/atom

a = 8.3687 Å, b = 8.4366 Å, c = 8.3698 Å
α = 119.73°, β = 120.00°, γ = 90.00°
Closest atoms and distances in Å follow each position.
Fractional coordinates of all 16 atoms:
Se (0.2531, 0.7506, 0.9975)  3 Sm 2.93-2.99, 2 Ca 2.96, 1 La 3.01
Se (0.7445, 0.7506, 0.9975)  3 Sm 2.93-2.99, 2 Ca 2.96, 1 La 3.01
Se (0.7469, 0.2494, 0.0025)  3 Sm 2.93-2.99, 2 Ca 2.96, 1 La 3.01
Se (0.2507, 0.2521, 0.5014)  3 Ca 2.96, 3 Sm 2.98
Se (0.2531, 0.7506, 0.5061)  3 Sm 2.94-2.99, 2 Ca 2.96, 1 La 3.01
Se (0.7493, 0.7479, 0.4986)  3 Ca 2.96, 3 Sm 2.98
Se (0.2555, 0.2494, 0.0025)  3 Sm 2.93-2.99, 2 Ca 2.96, 1 La 3.01
Se (0.7469, 0.2494, 0.4939)  3 Sm 2.94-2.99, 2 Ca 2.96, 1 La 3.01
Sm (0.0000, 0.0000, 0.5000)  6 Se 2.98-2.99
Sm (0.5000, 0.0000, 0.0000)  6 Se 2.93-2.94
Sm (0.5000, 0.0000, 0.5000)  6 Se 2.98-2.99
Sm (0.0000, 0.0000, 0.0000)  6 Se 2.98-2.99
La (0.0000, 0.5000, 0.0000)  6 Se 3.01
Ca (0.0000, 0.5000, 0.5000)  6 Se 2.96
Ca (0.5000, 0.5000, 0.0000)  6 Se 2.96
Ca (0.5000, 0.5000, 0.5000)  6 Se 2.96


[7]
Material: CaLaSm2Se4
Method: DFT, GGA-PBE
State: optimized geometry

Properties
**E**: -5.6868 eV per atom
**SG**: P2/m, No. 10
**Formation energy without anion corrections**: -1.899 eV/atom

a = 4.1939 Å, b = 7.3160 Å, c = 7.3163 Å
α = 70.86°, β = 90.00°, γ = 90.00°
Closest atoms and distances in Å follow each position.
Fractional coordinates of all 8 atoms:
Se (0.0000, 0.7545, 0.7418)  3 Sm 2.94-3.00, 1 Ca 2.96, 2 La 3.02
Se (0.5000, 0.7511, 0.2550)  3 Sm 2.94-2.99, 2 Ca 2.97, 1 La 3.02
Se (0.0000, 0.2455, 0.2582)  3 Sm 2.94-3.00, 1 Ca 2.96, 2 La 3.02
Se (0.5000, 0.2489, 0.7450)  3 Sm 2.94-2.99, 2 Ca 2.97, 1 La 3.02
Sm (0.0000, 0.0000, 0.0000)  6 Se 2.99-3.00
Sm (0.5000, 0.0000, 0.5000)  6 Se 2.94
Ca (0.0000, 0.5000, 0.5000)  6 Se 2.96-2.97
La (0.5000, 0.5000, 0.0000)  6 Se 3.02


[8]
Material: Ca4LaSm3Se8
Method: DFT, GGA-PBE
State: optimized geometry

Properties
**E**: -5.3507 eV per atom
**SG**: R-3m, No. 166
**Formation energy without anion corrections**: -1.915 eV/atom

a = 8.3486 Å, b = 8.4688 Å, c = 8.3494 Å
α = 119.53°, β = 120.00°, γ = 90.00°
Closest atoms and distances in Å follow each position.
Fractional coordinates of all 16 atoms:
Ca (0.5000, 0.0000, 0.0000)  6 Se 2.92
Ca (0.0000, 0.0000, 0.5000)  6 Se 2.96-2.97
Ca (0.0000, 0.0000, 0.0000)  6 Se 2.96-2.97
Ca (0.5000, 0.0000, 0.5000)  6 Se 2.96-2.97
Se (0.2494, 0.2480, 0.4988)  3 Ca 2.96-2.97, 3 Sm 2.98
Se (0.7506, 0.7520, 0.5012)  3 Ca 2.96-2.97, 3 Sm 2.98
Se (0.2528, 0.2446, 0.9987)  3 Ca 2.92-2.97, 2 Sm 2.98, 1 La 3.02
Se (0.2542, 0.7554, 0.5084)  3 Ca 2.92-2.97, 2 Sm 2.98, 1 La 3.02
Se (0.2540, 0.7554, 0.0013)  3 Ca 2.92-2.97, 2 Sm 2.98, 1 La 3.02
Se (0.7472, 0.7554, 0.0013)  3 Ca 2.92-2.97, 2 Sm 2.98, 1 La 3.02
Se (0.7458, 0.2446, 0.4916)  3 Ca 2.92-2.97, 2 Sm 2.98, 1 La 3.02
Se (0.7460, 0.2446, 0.9987)  3 Ca 2.92-2.97, 2 Sm 2.98, 1 La 3.02
Sm (0.5000, 0.5000, 0.5000)  6 Se 2.98
Sm (0.5000, 0.5000, 0.0000)  6 Se 2.98
Sm (0.0000, 0.5000, 0.5000)  6 Se 2.98
La (0.0000, 0.5000, 0.0000)  6 Se 3.02


[9]
Material: CaLaSm4Se8
Method: DFT, GGA-PBE
State: optimized geometry

Properties
**E**: -5.6551 eV per atom
**SG**: R3m, No. 160
**Formation energy without anion corrections**: -1.821 eV/atom

a = 8.6127 Å, b = 8.6127 Å, c = 8.7011 Å
α = 60.34°, β = 60.34°, γ = 60.00°
Closest atoms and distances in Å follow each position.
Fractional coordinates of all 14 atoms:
Se (0.2453, 0.2453, 0.7347)  1 Ca 2.82, 2 Sm 2.91, 1 La 2.99
Se (0.2412, 0.2412, 0.2764)  1 Ca 2.85, 3 Sm 2.93
Se (0.7580, 0.7580, 0.7259)  4 Sm 2.83-2.99
Se (0.7540, 0.7540, 0.2641)  3 Sm 2.80-2.98, 1 La 3.04
Se (0.2453, 0.7748, 0.7347)  1 Ca 2.82, 2 Sm 2.91, 1 La 2.99
Se (0.7748, 0.2453, 0.7347)  1 Ca 2.82, 2 Sm 2.91, 1 La 2.99
Se (0.2279, 0.7540, 0.2641)  3 Sm 2.80-2.98, 1 La 3.04
Se (0.7540, 0.2279, 0.2641)  3 Sm 2.80-2.98, 1 La 3.04
Sm (0.6259, 0.6259, 0.1224)  4 Se 2.80-2.83
Sm (0.0020, 0.4939, 0.5021)  6 Se 2.91-2.99
Sm (0.0020, 0.0020, 0.5021)  6 Se 2.91-2.99
Sm (0.4939, 0.0020, 0.5021)  6 Se 2.91-2.99
Ca (0.3741, 0.3741, 0.8778)  4 Se 2.82-2.85
La (0.0017, 0.0017, 0.9948)  6 Se 2.99-3.04


[10]
Material: CaLaSn2Se
Method: DFT, GGA-PBE
State: optimized geometry

Properties
**E**: -2.9702 eV per atom
**SG**: P4/mmm, No. 123
**Formation energy without anion corrections**: 0.714 eV/atom

a = 5.8846 Å, b = 6.5266 Å, c = 5.8846 Å
α = 90.00°, β = 90.00°, γ = 90.00°
Closest atoms and distances in Å follow each position.
Fractional coordinates of all 5 atoms:
La (0.0000, 0.0000, 0.0000)  4 Sn 2.94, 2 Ca 3.26
Sn (0.0000, 0.0000, 0.5000)  2 La 2.94
Sn (0.5000, 0.0000, 0.0000)  2 La 2.94
Se (0.5000, 0.5000, 0.5000)  4 Ca 4.16, 8 Sn 4.39
Ca (0.0000, 0.5000, 0.0000)  2 La 3.26